MgSb2Pb | PBE | relaxed

## Properties
The value obtained for the energy relative to the elements, uncorrected is 90 meV/atom. Its space group is F-43m (216). The total magnetization is 0.00 μB/f.u.

a = 5.387 Å, b = 5.387 Å, c = 5.387 Å
α = 60.00°, β = 60.00°, γ = 60.00°
Fractional coordinates of all 4 atoms:
Mg1 0.500 0.500 0.500
Pb1 0.750 0.750 0.750
Sb1 0.000 0.000 0.000
Sb2 0.250 0.250 0.250